Record 1
Here is a relaxed structure of CuMoP from Alexandria via LeMat-Bulk. Energies are from PBE.

**D(E_F)**: 2.39 states/eV/cell
**Size of the total moment**: 0.000 μB/atom
**Raw total energy**: -6.856 eV per atom

```
CuMoP
1.0
0.000 2.795 2.795
2.795 0.000 2.795
2.795 2.795 0.000
Cu Mo P
1 1 1
direct
0.000 0.000 0.000
0.500 0.500 0.500
0.750 0.750 0.750
```

Record 2
Here is a relaxed structure of CuMoP2 from Alexandria via LeMat-Bulk. Energies are from PBE.

**D(E_F)**: 4.19 states/eV/cell
**Size of the total moment**: 0.000 μB/atom
**Raw total energy**: -6.317 eV per atom

```
CuMoP2
1.0
-2.701 2.701 5.242
2.701 -2.701 5.242
2.701 2.701 -5.242
Cu Mo P
2 2 4
direct
0.000 0.000 0.000
0.750 0.250 0.500
0.250 0.750 0.500
0.500 0.500 0.000
0.121 0.625 0.996
0.375 0.371 0.496
0.629 0.125 0.004
0.875 0.879 0.504
```

Record 3
Here is a relaxed structure of Cu2MoP2 from Alexandria via LeMat-Bulk. Energies are from PBE.

**D(E_F)**: 2.77 states/eV/cell
**Size of the total moment**: 0.566 μB/atom
**Raw total energy**: -5.336 eV per atom

```
Cu2MoP2
1.0
-1.854 1.854 5.346
1.854 -1.854 5.346
1.854 1.854 -5.346
Cu Mo P
2 1 2
direct
0.110 0.110 0.000
0.890 0.890 0.000
0.500 0.500 0.000
0.250 0.750 0.500
0.750 0.250 0.500
```

Record 4
Here is a relaxed structure of CuMo2P from Alexandria via LeMat-Bulk. Energies are from PBE.

**D(E_F)**: 2.73 states/eV/cell
**Size of the total moment**: 0.000 μB/atom
**Raw total energy**: -7.792 eV per atom

```
CuMo2P
1.0
-1.530 2.129 4.236
1.530 -2.129 4.236
1.530 2.129 -4.236
Cu Mo P
1 2 1
direct
0.000 0.000 0.000
0.272 0.772 0.500
0.557 0.557 0.000
0.784 0.284 0.500
```

Record 5
Here is a relaxed structure of Cu2Mo2P from Alexandria via LeMat-Bulk. Energies are from PBE.

**D(E_F)**: 4.64 states/eV/cell
**Size of the total moment**: 0.000 μB/atom
**Raw total energy**: -6.782 eV per atom

```
Cu2Mo2P
1.0
-1.610 1.610 6.955
1.610 -1.610 6.955
1.610 1.610 -6.955
Cu Mo P
2 2 1
direct
0.250 0.750 0.500
0.750 0.250 0.500
0.091 0.091 0.000
0.909 0.909 0.000
0.500 0.500 0.000
```

Record 6
Here is a relaxed structure of CuMo2P from Alexandria via LeMat-Bulk. Energies are from PBE.

**D(E_F)**: 3.11 states/eV/cell
**Size of the total moment**: 0.000 μB/atom
**Raw total energy**: -7.578 eV per atom

```
CuMo2P
1.0
1.629 -2.228 0.000
1.629 2.228 0.000
0.000 0.000 8.037
Cu Mo P
1 2 1
direct
0.000 0.000 0.000
0.000 0.000 0.463
0.500 0.500 0.737
0.500 0.500 0.230
```

Record 7
Here is a relaxed structure of CuMo2P from Alexandria via LeMat-Bulk. Energies are from PBE.

**D(E_F)**: 3.72 states/eV/cell
**Size of the total moment**: 0.000 μB/atom
**Raw total energy**: -7.658 eV per atom

```
CuMo2P
1.0
-1.876 1.876 3.956
1.876 -1.876 3.956
1.876 1.876 -3.956
Cu Mo P
1 2 1
direct
0.000 0.000 0.000
0.250 0.750 0.500
0.500 0.500 0.000
0.750 0.250 0.500
```

Record 8
Here is a relaxed structure of CuMoP2Pt from Alexandria via LeMat-Bulk. Energies are from PBE.

**D(E_F)**: 5.04 states/eV/cell
**Size of the total moment**: 0.684 μB/atom
**Raw total energy**: -5.039 eV per atom

```
CuMoP2Pt
1.0
4.507 0.000 0.000
0.000 4.507 0.000
0.000 0.000 5.371
Cu Mo P Pt
1 1 2 1
direct
0.000 0.000 0.000
0.500 0.500 0.000
0.000 0.500 0.500
0.500 0.000 0.500
0.500 0.500 0.500
```

Record 9
Here is a relaxed structure of RbCuMoP2 from Alexandria via LeMat-Bulk. Energies are from PBE.

**D(E_F)**: 3.46 states/eV/cell
**Size of the total moment**: 0.214 μB/atom
**Raw total energy**: -4.546 eV per atom

```
RbCuMoP2
1.0
4.651 0.000 0.000
0.000 4.651 0.000
0.000 0.000 6.909
Rb Cu Mo P
1 1 1 2
direct
0.000 0.000 0.000
0.500 0.500 0.000
0.000 0.000 0.500
0.000 0.500 0.500
0.500 0.000 0.500
```

Record 10
Here is a relaxed structure of Rb2CuMoP from Alexandria via LeMat-Bulk. Energies are from PBE.

**D(E_F)**: 2.06 states/eV/cell
**Size of the total moment**: 0.756 μB/atom
**Raw total energy**: -3.640 eV per atom

```
Rb2CuMoP
1.0
6.914 0.000 0.000
0.000 6.914 0.000
0.000 0.000 4.639
Rb Cu Mo P
2 1 1 1
direct
0.000 0.500 0.000
0.500 0.000 0.000
0.000 0.000 0.500
0.500 0.500 0.000
0.500 0.500 0.500
```

Record 11
Here is a relaxed structure of ScCuMo2P from Alexandria via LeMat-Bulk. Energies are from PBE.

**D(E_F)**: 6.86 states/eV/cell
**Size of the total moment**: 0.000 μB/atom
**Raw total energy**: -5.672 eV per atom

```
ScCuMo2P
1.0
4.662 0.000 0.000
0.000 4.662 0.000
0.000 0.000 4.699
Sc Cu Mo P
1 1 2 1
direct
0.000 0.000 0.000
0.500 0.500 0.500
0.000 0.500 0.000
0.500 0.000 0.000
0.000 0.000 0.500
```

Record 12
Here is a relaxed structure of SrCuMo2P from Alexandria via LeMat-Bulk. Energies are from PBE.

**D(E_F)**: 8.42 states/eV/cell
**Size of the total moment**: 0.000 μB/atom
**Raw total energy**: -5.337 eV per atom

```
SrCuMo2P
1.0
4.797 0.000 0.000
0.000 4.797 0.000
0.000 0.000 4.362
Sr Cu Mo P
1 1 2 1
direct
0.000 0.000 0.000
0.500 0.500 0.500
0.000 0.500 0.500
0.500 0.000 0.500
0.500 0.500 0.000
```

Record 13
Here is a relaxed structure of Cu2TeMoP from Alexandria via LeMat-Bulk. Energies are from PBE.

**D(E_F)**: 2.09 states/eV/cell
**Size of the total moment**: 0.859 μB/atom
**Formation energy from raw total energies**: 7.03 eV per formula unit
**Raw total energy**: -4.108 eV per atom

```
Cu2TeMoP
1.0
4.645 0.000 0.000
0.000 4.645 0.000
0.000 0.000 5.609
Cu Te Mo P
2 1 1 1
direct
0.000 0.500 0.000
0.500 0.000 0.000
0.000 0.000 0.000
0.500 0.500 0.500
0.000 0.000 0.500
```

Record 14
Here is a relaxed structure of Pa2CuMo from Alexandria via LeMat-Bulk. Energies are from PBE.

**D(E_F)**: 6.52 states/eV/cell
**Size of the total moment**: 0.000 μB/atom
**Raw total energy**: -8.333 eV per atom

```
Pa2CuMo
1.0
4.893 0.000 0.000
0.000 4.893 0.000
0.000 0.000 3.437
Pa Cu Mo
2 1 1
direct
0.000 0.500 0.000
0.500 0.000 0.000
0.000 0.000 0.500
0.500 0.500 0.500
```

Record 15
Here is a relaxed structure of Pa2CuMo from Alexandria via LeMat-Bulk. Energies are from PBE.

**D(E_F)**: 4.81 states/eV/cell
**Size of the total moment**: 0.000 μB/atom
**Raw total energy**: -7.949 eV per atom

```
Pa2CuMo
1.0
1.541 0.890 10.318
-1.541 0.890 10.318
0.000 -1.780 10.318
Pa Cu Mo
2 1 1
direct
0.091 0.091 0.091
0.909 0.909 0.909
0.000 0.000 0.000
0.500 0.500 0.500
```

Record 16
Here is a relaxed structure of Pa2CuMo from Alexandria via LeMat-Bulk. Energies are from PBE.

**D(E_F)**: 6.35 states/eV/cell
**Size of the total moment**: 0.000 μB/atom
**Raw total energy**: -8.312 eV per atom

```
Pa2CuMo
1.0
0.000 3.453 3.453
3.453 0.000 3.453
3.453 3.453 0.000
Pa Cu Mo
2 1 1
direct
0.250 0.250 0.250
0.750 0.750 0.750
0.000 0.000 0.000
0.500 0.500 0.500
```

Record 17
Here is a relaxed structure of PaCu4Mo from Alexandria via LeMat-Bulk. Energies are from PBE.

**D(E_F)**: 3.66 states/eV/cell
**Size of the total moment**: 0.161 μB/atom
**Raw total energy**: -6.034 eV per atom

```
PaCu4Mo
1.0
0.000 3.540 3.540
3.540 0.000 3.540
3.540 3.540 0.000
Pa Cu Mo
1 4 1
direct
0.000 0.000 0.000
0.376 0.376 0.376
0.376 0.376 0.871
0.376 0.871 0.376
0.871 0.376 0.376
0.750 0.750 0.750
```

Record 18
Here is a relaxed structure of PaTiCuMo from Alexandria via LeMat-Bulk. Energies are from PBE.

**D(E_F)**: 5.96 states/eV/cell
**Size of the total moment**: 0.000 μB/atom
**Raw total energy**: -8.023 eV per atom

```
PaTiCuMo
1.0
0.000 3.293 3.293
3.293 0.000 3.293
3.293 3.293 0.000
Pa Ti Cu Mo
1 1 1 1
direct
0.000 0.000 0.000
0.500 0.500 0.500
0.750 0.750 0.750
0.250 0.250 0.250
```

Record 19
Here is a relaxed structure of CuMo3Pb from Alexandria via LeMat-Bulk. Energies are from PBE.

**D(E_F)**: 9.48 states/eV/cell
**Size of the total moment**: 0.000 μB/atom
**Raw total energy**: -5.238 eV per atom

```
CuMo3Pb
1.0
5.003 0.000 0.000
0.000 5.003 0.000
0.000 0.000 5.003
Cu Mo Pb
1 3 1
direct
0.000 0.000 0.000
0.000 0.500 0.500
0.500 0.000 0.500
0.500 0.500 0.000
0.500 0.500 0.500
```

Record 20
Here is a relaxed structure of CuMo4Pb from Alexandria via LeMat-Bulk. Energies are from PBE.

**D(E_F)**: 7.69 states/eV/cell
**Size of the total moment**: 0.000 μB/atom
**Raw total energy**: -7.829 eV per atom

```
CuMo4Pb
1.0
0.000 3.766 3.766
3.766 0.000 3.766
3.766 3.766 0.000
Cu Mo Pb
1 4 1
direct
0.000 0.000 0.000
0.118 0.627 0.627
0.627 0.118 0.627
0.627 0.627 0.118
0.627 0.627 0.627
0.250 0.250 0.250
```